{
  "formula": "CaVGa2O6",
  "functional": "GGA+U",
  "state": "optimized geometry",
  "total_energy_ev_per_atom": -6.640,
  "spacegroup": "C2/c, No. 15",
  "lattice": [[-4.924, 1.176, 3.311], [-1.026, -5.728, 4.100], [2.014, 4.759, 4.896]],
  "species": ["Ca", "Ca", "V", "V", "Ga", "Ga", "Ga", "Ga", "O", "O", "O", "O", "O", "O", "O", "O", "O", "O", "O", "O"],
  "fractional_positions": [[0.250, 0.899, 0.101], [0.750, 0.101, 0.899], [0.250, 0.197, 0.803], [0.750, 0.803, 0.197], [0.327, 0.711, 0.557], [0.173, 0.443, 0.289], [0.673, 0.289, 0.443], [0.827, 0.557, 0.711], [0.188, 0.955, 0.791], [0.312, 0.209, 0.045], [0.812, 0.045, 0.209], [0.688, 0.791, 0.955], [0.442, 0.844, 0.358], [0.058, 0.642, 0.156], [0.558, 0.156, 0.642], [0.942, 0.358, 0.844], [0.026, 0.680, 0.561], [0.474, 0.439, 0.320], [0.974, 0.320, 0.439], [0.526, 0.561, 0.680]]
}